The following is a DFT calculation (PBE) of a relaxed structure of Zr2BeCuN.

Cell and atoms, written as extended XYZ:
```
5
Lattice="-4.352 0.096 -1.424 -1.180 -2.814 3.415 -0.587 2.637 1.970" Properties=species:S:1:pos:R:3 pbc="T T T"
Be -0.293 1.318 0.985
Zr -2.176 0.048 -0.712
Zr -0.590 -1.407 1.708
Cu -3.059 -0.041 1.981
N 0.000 0.000 0.000
```

Values from the calculation:
calculated total energy = -7.2915 eV/atom
total magnetic moment = 0.000 μB/cell
DOS(E_F) = 3.5 states/eV per cell
symmetry = P4/mmm (123)